ReTc2PtN after structural relaxation, computed with PBE.

a = 4.056 Å, b = 4.056 Å, c = 4.035 Å
α = 90.00°, β = 90.00°, γ = 90.00°
Space group P4/mmm (No. 123)
One atom of each set of equivalent atoms:
Re (0.000, 0.000, 0.000)
Tc (0.000, 0.500, 0.500)
Pt (0.500, 0.500, 0.000)
N (0.000, 0.000, 0.500)

Total moment, μB per cell: 0.00
E, eV/atom: -9.501
N(E_F), states/eV per cell: 3.91
E_form (uncorrected), eV per atom: 0.01